*i*
! CoP2O7, single point on PBEsol structure, DFT SCAN; values from VASP
&SYSTEM
  ibrav = 0, nat = 40, ntyp = 3
/
ATOMIC_SPECIES
O 16.00 O.upf
P 30.97 P.upf
Co 58.93 Co.upf
CELL_PARAMETERS angstrom
6.034 0.008 0.021
-0.941 5.960 -0.021
-2.770 -2.794 11.986
ATOMIC_POSITIONS crystal
O 0.241 0.104 0.123
O 0.266 0.735 0.180
P 0.152 0.331 0.572
O 0.276 0.188 0.644
O 0.946 0.914 0.680
O 0.667 0.555 0.700
O 0.409 0.808 0.015
P 0.259 0.579 0.928
P 0.392 0.926 0.137
O 0.734 0.265 0.820
P 0.741 0.421 0.072
O 0.416 0.512 0.852
P 0.289 0.255 0.363
O 0.194 0.399 0.994
P 0.848 0.669 0.428
Co 0.777 0.123 0.354
O 0.956 0.368 0.144
O 0.724 0.812 0.356
P 0.711 0.745 0.637
O 0.054 0.086 0.320
O 0.905 0.200 0.506
Co 0.731 0.577 0.854
O 0.292 0.393 0.485
O 0.044 0.632 0.856
O 0.355 0.966 0.800
O 0.806 0.601 0.006
Co 0.223 0.877 0.646
O 0.584 0.488 0.148
O 0.160 0.564 0.648
Co 0.269 0.423 0.146
P 0.608 0.074 0.863
O 0.591 0.192 0.985
O 0.333 0.445 0.300
O 0.482 0.118 0.377
O 0.708 0.607 0.515
O 0.759 0.896 0.877
O 0.518 0.882 0.623
O 0.645 0.034 0.200
O 0.095 0.800 0.494
O 0.840 0.436 0.352
! Density of states at the Fermi level in states/eV per cell: 12.60
! Space-group type: C2/c

=====

*ii*
! CoP2O7, single point on PBEsol structure, DFT SCAN; values from VASP
&SYSTEM
  ibrav = 0, nat = 10, ntyp = 3
/
ATOMIC_SPECIES
O 16.00 O.upf
Co 58.93 Co.upf
P 30.97 P.upf
CELL_PARAMETERS angstrom
-1.297 1.768 -3.763
-0.775 -4.753 -1.120
-4.047 0.938 2.681
ATOMIC_POSITIONS crystal
O 0.227 0.625 0.080
O 0.773 0.920 0.375
O 0.779 0.242 0.002
Co 0.500 0.946 0.054
O 0.000 0.502 0.498
P 0.909 0.797 0.615
O 0.321 0.193 0.284
P 0.091 0.385 0.203
O 0.221 0.998 0.758
O 0.679 0.716 0.807
! Density of states at the Fermi level in states/eV per cell: 3.60
! Space-group type: C2

=====

Pick *i*: it beats the second-best structure by 0.012 eV/atom.

=====

*i*
! TaCoP2O, single point on PBEsol structure, DFT SCAN; values from VASP
&SYSTEM
  ibrav = 0, nat = 5, ntyp = 4
/
ATOMIC_SPECIES
O 16.00 O.upf
P 30.97 P.upf
Co 58.93 Co.upf
Ta 180.95 Ta.upf
CELL_PARAMETERS angstrom
-3.615 -0.969 0.488
1.195 -2.420 4.043
-0.725 4.027 2.624
ATOMIC_POSITIONS crystal
O 0.500 0.000 0.000
P 0.000 0.000 0.500
P 0.000 0.500 0.000
Co 0.500 0.500 0.500
Ta 0.000 0.000 0.000
! Density of states at the Fermi level in states/eV per cell: 2.03
! Space-group type: P4/mmm

=====

*ii*
! TaCoP2O, single point on PBEsol structure, DFT SCAN; values from VASP
&SYSTEM
  ibrav = 0, nat = 5, ntyp = 4
/
ATOMIC_SPECIES
Co 58.93 Co.upf
O 16.00 O.upf
P 30.97 P.upf
Ta 180.95 Ta.upf
CELL_PARAMETERS angstrom
-2.837 -0.816 1.499
2.336 -1.981 3.342
0.073 3.921 2.273
ATOMIC_POSITIONS crystal
Co 0.000 0.000 0.000
O 0.500 0.000 0.000
P 0.000 0.500 0.000
P 0.000 0.000 0.500
Ta 0.500 0.500 0.500
! Density of states at the Fermi level in states/eV per cell: 4.37
! Space-group type: P4/mmm

=====

Pick *i*: it beats the second-best structure by 0.280 eV/atom.

=====

*i*
! ZnCoP2O7, single point on PBEsol structure, DFT SCAN; values from VASP
&SYSTEM
  ibrav = 0, nat = 44, ntyp = 4
/
ATOMIC_SPECIES
O 16.00 O.upf
P 30.97 P.upf
Zn 65.41 Zn.upf
Co 58.93 Co.upf
CELL_PARAMETERS angstrom
-6.049 3.212 -1.318
-1.372 -5.178 -6.321
-0.954 -6.762 5.747
ATOMIC_POSITIONS crystal
O 0.639 0.090 0.157
O 0.657 0.390 0.100
O 0.826 0.265 0.452
P 0.564 0.225 0.032
O 0.852 0.671 0.603
O 0.073 0.108 0.181
O 0.326 0.235 0.952
Zn 0.878 0.941 0.182
O 0.901 0.595 0.883
O 0.401 0.905 0.383
O 0.599 0.095 0.617
P 0.318 0.766 0.261
P 0.436 0.775 0.968
Zn 0.622 0.441 0.318
P 0.936 0.725 0.468
Zn 0.378 0.559 0.682
P 0.818 0.734 0.761
O 0.861 0.590 0.343
O 0.427 0.608 0.319
O 0.420 0.254 0.296
O 0.343 0.610 0.900
P 0.682 0.234 0.739
O 0.148 0.329 0.397
O 0.174 0.735 0.548
O 0.648 0.171 0.897
P 0.182 0.266 0.239
Co 0.126 0.431 0.895
Co 0.626 0.069 0.395
Co 0.374 0.931 0.605
O 0.674 0.765 0.048
O 0.927 0.892 0.819
O 0.573 0.392 0.681
O 0.580 0.746 0.704
O 0.157 0.110 0.600
O 0.361 0.910 0.843
O 0.080 0.754 0.204
P 0.064 0.275 0.532
O 0.352 0.829 0.103
O 0.139 0.410 0.657
Zn 0.122 0.059 0.818
O 0.099 0.405 0.117
O 0.920 0.246 0.796
Co 0.874 0.569 0.105
O 0.843 0.890 0.400
! Density of states at the Fermi level in states/eV per cell: 0.00
! Space-group type: P2_1/c

=====

*ii*
! ZnCoP2O7, single point on PBEsol structure, DFT SCAN; values from VASP
&SYSTEM
  ibrav = 0, nat = 22, ntyp = 4
/
ATOMIC_SPECIES
O 16.00 O.upf
P 30.97 P.upf
Zn 65.41 Zn.upf
Co 58.93 Co.upf
CELL_PARAMETERS angstrom
-4.372 2.927 3.118
-1.807 -4.732 3.840
2.687 0.585 6.245
ATOMIC_POSITIONS crystal
O 0.573 0.392 0.830
O 0.279 0.219 0.254
O 0.427 0.608 0.170
O 0.640 0.238 0.378
P 0.416 0.362 0.315
Zn 0.949 0.277 0.215
O 0.029 0.371 0.885
Co 0.643 0.079 0.817
O 0.260 0.382 0.538
O 0.971 0.629 0.115
O 0.721 0.781 0.746
O 0.978 0.082 0.720
P 0.142 0.215 0.761
O 0.740 0.618 0.462
O 0.022 0.918 0.280
P 0.584 0.638 0.685
O 0.679 0.959 0.127
Co 0.357 0.921 0.183
O 0.360 0.762 0.622
Zn 0.051 0.723 0.785
O 0.321 0.041 0.873
P 0.858 0.785 0.239
! Space-group type: P-1

=====

Pick *i*: it beats the second-best structure by 0.032 eV/atom.

=====

*i*
! SrSmCoO4, single point on PBEsol structure, DFT SCAN; values from VASP
&SYSTEM
  ibrav = 0, nat = 14, ntyp = 4
/
ATOMIC_SPECIES
O 16.00 O.upf
Sr 87.62 Sr.upf
Sm 150.36 Sm.upf
Co 58.93 Co.upf
CELL_PARAMETERS angstrom
-1.424 5.049 -0.540
-1.796 0.026 4.979
6.123 -0.791 2.213
ATOMIC_POSITIONS crystal
O 0.500 0.500 0.500
Sr 0.896 0.250 0.791
Sm 0.617 0.250 0.233
O 0.577 0.750 0.154
O 0.000 0.500 0.500
Co 0.748 0.750 0.497
Sr 0.104 0.750 0.209
Sm 0.383 0.750 0.767
O 0.093 0.250 0.187
Co 0.252 0.250 0.503
O 0.907 0.750 0.813
O 0.423 0.250 0.846
O 0.000 0.000 0.500
O 0.500 0.000 0.500
! Space-group type: Cmcm

=====

*ii*
! SrSmCoO4, single point on PBEsol structure, DFT SCAN; values from VASP
&SYSTEM
  ibrav = 0, nat = 7, ntyp = 4
/
ATOMIC_SPECIES
O 16.00 O.upf
Sr 87.62 Sr.upf
Sm 150.36 Sm.upf
Co 58.93 Co.upf
CELL_PARAMETERS angstrom
3.720 0.000 0.000
0.000 3.720 0.000
-1.860 -1.860 6.032
ATOMIC_POSITIONS crystal
O 0.012 0.512 0.024
Sr 0.358 0.358 0.715
Sm 0.638 0.638 0.275
Co 0.992 0.992 0.984
O 0.830 0.830 0.661
O 0.512 0.012 0.024
O 0.159 0.159 0.318
! Space-group type: I4mm

=====

Pick *ii*: it beats the second-best structure by 0.019 eV/atom.

=====

*i*
! TiCo3O8, single point on PBEsol structure, DFT SCAN; values from VASP
&SYSTEM
  ibrav = 0, nat = 12, ntyp = 3
/
ATOMIC_SPECIES
O 16.00 O.upf
Co 58.93 Co.upf
Ti 47.87 Ti.upf
CELL_PARAMETERS angstrom
5.650 0.000 0.000
2.825 4.893 0.000
2.825 1.631 4.626
ATOMIC_POSITIONS crystal
O 0.240 0.728 0.792
O 0.285 0.755 0.205
O 0.755 0.755 0.205
O 0.240 0.240 0.792
O 0.728 0.240 0.792
Co 0.503 0.503 0.986
Co 0.503 0.007 0.986
Co 0.007 0.503 0.986
O 0.735 0.735 0.794
O 0.271 0.271 0.186
Ti 0.985 0.985 0.045
O 0.755 0.285 0.205
! Density of states at the Fermi level in states/eV per cell: 6.61
! Space-group type: R3m

=====

*ii*
! TiCo3O8, single point on PBEsol structure, DFT SCAN; values from VASP
&SYSTEM
  ibrav = 0, nat = 24, ntyp = 3
/
ATOMIC_SPECIES
O 16.00 O.upf
Co 58.93 Co.upf
Ti 47.87 Ti.upf
CELL_PARAMETERS angstrom
-0.929 -0.644 -5.441
-1.558 -3.961 3.573
-7.882 3.899 0.885
ATOMIC_POSITIONS crystal
O 0.163 0.326 0.898
O 0.326 0.163 0.398
O 0.482 0.964 0.169
Co 0.664 0.832 0.286
O 0.964 0.482 0.669
O 0.333 0.667 0.393
Ti 0.333 0.667 0.005
O 0.000 0.000 0.687
O 0.000 0.000 0.187
Co 0.168 0.336 0.286
O 0.674 0.837 0.898
O 0.837 0.163 0.398
O 0.667 0.333 0.893
Co 0.832 0.664 0.786
O 0.837 0.674 0.398
Co 0.336 0.168 0.786
Co 0.168 0.832 0.286
O 0.163 0.837 0.898
Co 0.832 0.168 0.786
Ti 0.667 0.333 0.505
O 0.518 0.482 0.669
O 0.482 0.518 0.169
O 0.518 0.036 0.669
O 0.036 0.518 0.169
! Density of states at the Fermi level in states/eV per cell: 11.08
! Space-group type: P6_3mc

=====

Pick *ii*: it beats the second-best structure by 0.076 eV/atom.

=====

*i*
! Zn2Co3O8, single point on PBEsol structure, DFT SCAN; values from VASP
&SYSTEM
  ibrav = 0, nat = 13, ntyp = 3
/
ATOMIC_SPECIES
Zn 65.41 Zn.upf
O 16.00 O.upf
Co 58.93 Co.upf
CELL_PARAMETERS angstrom
4.816 0.000 0.339
0.000 5.588 0.000
-1.385 -2.794 4.582
ATOMIC_POSITIONS crystal
Zn 0.394 0.291 0.582
O 0.633 0.112 0.772
Zn 0.606 0.709 0.418
O 0.367 0.888 0.228
Co 0.500 0.000 0.000
O 0.367 0.339 0.228
Co 0.000 0.746 0.000
O 0.093 0.395 0.790
O 0.125 0.901 0.803
O 0.875 0.099 0.197
Co 0.000 0.254 0.000
O 0.907 0.605 0.210
O 0.633 0.661 0.772
! Density of states at the Fermi level in states/eV per cell: 4.51
! Space-group type: C2/m

=====

*ii*
! Zn2Co3O8, single point on PBEsol structure, DFT SCAN; values from VASP
&SYSTEM
  ibrav = 0, nat = 26, ntyp = 3
/
ATOMIC_SPECIES
O 16.00 O.upf
Co 58.93 Co.upf
Zn 65.41 Zn.upf
CELL_PARAMETERS angstrom
5.645 0.000 0.000
-2.823 4.889 0.000
0.000 0.000 9.143
ATOMIC_POSITIONS crystal
O 0.157 0.843 0.855
Co 0.836 0.164 0.756
O 0.038 0.519 0.140
O 0.519 0.481 0.640
O 0.315 0.157 0.355
O 0.843 0.157 0.355
O 0.843 0.685 0.355
O 0.481 0.519 0.140
Zn 0.333 0.667 0.969
Co 0.328 0.164 0.756
O 0.667 0.333 0.861
O 0.519 0.038 0.640
Co 0.164 0.836 0.256
O 0.000 0.000 0.652
Zn 0.333 0.667 0.576
O 0.962 0.481 0.640
Co 0.164 0.328 0.256
Zn 0.667 0.333 0.469
Co 0.836 0.672 0.756
O 0.333 0.667 0.361
Co 0.672 0.836 0.256
O 0.000 0.000 0.152
O 0.685 0.843 0.855
Zn 0.667 0.333 0.076
O 0.481 0.962 0.140
O 0.157 0.315 0.855
! Density of states at the Fermi level in states/eV per cell: 0.25
! Space-group type: P6_3mc

=====

Pick *ii*: it beats the second-best structure by 0.042 eV/atom.

=====

*i*
! Co2Os, single point on PBEsol structure, DFT SCAN; values from VASP
&SYSTEM
  ibrav = 0, nat = 6, ntyp = 2
/
ATOMIC_SPECIES
Os 190.23 Os.upf
Co 58.93 Co.upf
CELL_PARAMETERS angstrom
-2.630 3.451 1.673
-0.571 -1.138 -4.473
-1.195 -3.784 2.426
ATOMIC_POSITIONS crystal
Os 0.750 0.750 0.000
Os 0.250 0.250 0.000
Co 0.636 0.864 0.500
Co 0.364 0.136 0.500
Co 0.136 0.636 0.772
Co 0.864 0.364 0.228
! Density of states at the Fermi level in states/eV per cell: 4.98
! Space-group type: I4/mcm

=====

*ii*
! Co2Os, single point on PBEsol structure, DFT SCAN; values from VASP
&SYSTEM
  ibrav = 0, nat = 6, ntyp = 2
/
ATOMIC_SPECIES
Co 58.93 Co.upf
Os 190.23 Os.upf
CELL_PARAMETERS angstrom
-0.465 -3.461 0.710
2.695 0.117 2.335
-2.084 1.319 5.065
ATOMIC_POSITIONS crystal
Co 0.250 0.253 0.494
Co 0.250 0.579 0.842
Os 0.250 0.912 0.177
Co 0.750 0.421 0.158
Co 0.750 0.747 0.506
Os 0.750 0.088 0.823
! Density of states at the Fermi level in states/eV per cell: 5.94
! Space-group type: Cmcm

=====

Pick *ii*: it beats the second-best structure by 0.339 eV/atom.

=====

*i*
! CoOsPb2, single point on PBEsol structure, DFT SCAN; values from VASP
&SYSTEM
  ibrav = 0, nat = 4, ntyp = 3
/
ATOMIC_SPECIES
Co 58.93 Co.upf
Pb 207.20 Pb.upf
Os 190.23 Os.upf
CELL_PARAMETERS angstrom
3.075 0.000 0.000
0.000 3.077 0.000
0.000 0.000 8.362
ATOMIC_POSITIONS crystal
Co 0.000 0.000 0.549
Pb 0.500 0.500 0.323
Os 0.500 0.500 0.690
Pb 0.000 0.000 0.938
! Density of states at the Fermi level in states/eV per cell: 3.00
! Space-group type: P4mm

=====

*ii*
! CoOsPb2, single point on PBEsol structure, DFT SCAN; values from VASP
&SYSTEM
  ibrav = 0, nat = 4, ntyp = 3
/
ATOMIC_SPECIES
Os 190.23 Os.upf
Pb 207.20 Pb.upf
Co 58.93 Co.upf
CELL_PARAMETERS angstrom
-2.354 -1.661 2.607
-1.332 -2.411 -2.740
5.260 -1.093 1.158
ATOMIC_POSITIONS crystal
Os 0.250 0.750 0.500
Pb 0.750 0.250 0.500
Co 0.500 0.500 0.000
Pb 0.000 0.000 0.000
! Density of states at the Fermi level in states/eV per cell: 3.23
! Space-group type: I-4m2

=====

Pick *i*: it beats the second-best structure by 0.531 eV/atom.